First-principles (GGA-PBE) data for crystalline TbGa3Ag at its relaxed geometry, as listed in Alexandria via LeMat-Bulk.

Geometry as POSCAR:
```
TbGa3Ag
1.0
2.0855 -12.0748 0.0000
2.0855 12.0748 0.0000
0.0000 0.0000 4.1342
Tb Ga Ag
2 6 2
direct
0.1747 0.8253 0.0000
0.8253 0.1747 0.0000
0.0520 0.9480 0.5000
0.2764 0.7236 0.5000
0.4485 0.5515 0.0000
0.5515 0.4485 0.0000
0.7236 0.2764 0.5000
0.9480 0.0520 0.5000
0.3808 0.6192 0.5000
0.6192 0.3808 0.5000
```

Computed properties:
* DOS at the Fermi energy: 4.6 states/eV/cell
* formation enthalpy at 0 K: -31.3 kJ/mol of atoms
* E_tot: -3.64 eV per atom